{
  "formula": "YB2Ru3",
  "functional": "PBEsol",
  "state": "optimized geometry",
  "formation_energy_ev_per_atom": -0.482,
  "e_tot_ev_per_cell": -54.26,
  "cell": [[5.451, 0.000, 0.000], [-2.726, 4.721, 0.000], [0.000, 0.000, 2.991]],
  "species": ["Y", "B", "B", "Ru", "Ru", "Ru"],
  "frac_coords": [[0.000, 0.000, 0.000], [0.333, 0.667, 0.000], [0.667, 0.333, 0.000], [0.000, 0.500, 0.500], [0.500, 0.000, 0.500], [0.500, 0.500, 0.500]]
}